GGA-PBEsol RuRh, relaxed; space group = P-3m1 (164); calculated volume = 13.388 A^3/atom; energy of formation = -0.0105 eV per atom; VASP energy = -9.1659 eV per atom; total moment = 0.00 μB/cell
1.0
-2.259 0.820 1.207
-0.104 -1.904 -1.896
1.014 -6.018 5.988
Ru Rh
2 2
Cartesian
-0.437 -3.279 1.410
-0.911 -3.823 3.890
-1.409 -0.870 0.951
0.060 -6.232 4.348